No. 1
! Tb3CeTl4 (PBE, optimized geometry); values from VASP
! E (eV/atom): -3.834
! Energy relative to the lowest polymorph listed for this composition (eV per atom): 0.1431
! DFT formation energy (eV per atom): -0.173
! Magnetic moment (Bohr magnetons per cell): 1.56
&SYSTEM
  ibrav = 0, nat = 8, ntyp = 3
/
ATOMIC_SPECIES
Tb 158.93 Tb.upf
Ce 140.12 Ce.upf
Tl 204.38 Tl.upf
CELL_PARAMETERS angstrom
3.5093 0.0000 0.0000
0.0000 7.2872 -0.8105
-1.7546 -2.6074 9.7118
ATOMIC_POSITIONS angstrom
Tb 0.0000 3.6436 -0.4052
Tb 0.0000 0.4535 4.0736
Tb 1.7546 4.2263 4.8278
Ce 1.7546 0.0000 0.0000
Tl 0.0000 2.3148 6.7441
Tl 1.7546 2.3649 2.1573
Tl 1.7546 5.4546 1.8141
Tl 0.0000 -0.7749 7.0873

No. 2
! Tb5CeTl6 (PBE, optimized geometry); values from VASP
! E (eV/atom): -3.935
! Energy relative to the lowest polymorph listed for this composition (eV per atom): 0.0000
! DFT formation energy (eV per atom): -0.328
! Magnetic moment (Bohr magnetons per cell): 1.19
&SYSTEM
  ibrav = 0, nat = 12, ntyp = 3
/
ATOMIC_SPECIES
Tl 204.38 Tl.upf
Tb 158.93 Tb.upf
Ce 140.12 Ce.upf
CELL_PARAMETERS angstrom
-4.9757 2.1188 -0.0229
2.0669 -2.1607 -8.9003
0.0802 -6.6583 6.6195
ATOMIC_POSITIONS angstrom
Tl -1.0552 -2.4661 2.0408
Tl -2.4460 -5.7566 0.9092
Tl -3.2207 -0.6755 -0.6080
Tl 0.3920 -6.0247 -1.6958
Tl -0.3827 -0.9436 -3.2130
Tl -1.7734 -4.2341 -4.3446
Tb -2.0832 -4.8642 4.0729
Tb 0.7403 -5.1638 1.4623
Tb -1.4143 -3.3501 -1.1519
Tb -3.5690 -1.5364 -3.7662
Tb -0.7455 -1.8360 -6.3767
Ce 0.0000 0.0000 0.0000

No. 3
! Tb2Ce2Tl5 (PBE, optimized geometry); values from VASP
! E (eV/atom): -3.751
! DFT formation energy (eV per atom): -0.089
! Magnetic moment (Bohr magnetons per cell): 3.79
&SYSTEM
  ibrav = 0, nat = 18, ntyp = 3
/
ATOMIC_SPECIES
Tb 158.93 Tb.upf
Ce 140.12 Ce.upf
Tl 204.38 Tl.upf
CELL_PARAMETERS angstrom
-2.4966 4.3899 -8.4368
-6.8723 -0.4652 1.7916
5.1321 5.1328 6.8820
ATOMIC_POSITIONS angstrom
Tb -3.7148 1.5576 2.1351
Tb -1.4181 7.4392 -1.6647
Tb -1.6251 4.1579 -3.3109
Tb -3.5078 4.8390 3.7813
Ce -0.4407 -0.0298 0.1149
Ce -5.1251 1.9325 -3.2077
Ce -0.3011 3.6464 1.6487
Ce -4.8384 5.3500 -1.1766
Tl -1.1407 5.0643 5.8333
Tl -7.4198 3.7005 -4.4694
Tl 2.2973 5.2936 4.9439
Tl -3.9855 3.9364 -5.3716
Tl -6.1011 2.7339 0.3647
Tl -2.4725 6.0300 1.0027
Tl -2.6657 2.9678 -0.5336
Tl 0.9644 6.2614 0.1093
Tl -3.8174 6.6926 -3.9812
Tl 2.1146 2.5365 3.5574

No. 4
! Tb3Ce2Tl7 (PBE, optimized geometry); values from VASP
! E (eV/atom): -3.587
! DFT formation energy (eV per atom): -0.061
! Magnetic moment (Bohr magnetons per cell): 2.89
&SYSTEM
  ibrav = 0, nat = 12, ntyp = 3
/
ATOMIC_SPECIES
Tb 158.93 Tb.upf
Ce 140.12 Ce.upf
Tl 204.38 Tl.upf
CELL_PARAMETERS angstrom
5.5226 0.0000 0.0000
0.0000 5.3481 0.0000
0.0000 -2.6740 12.6538
ATOMIC_POSITIONS angstrom
Tb 2.7613 2.6740 0.0000
Tb 2.7613 2.6740 3.8526
Tb 2.7613 0.0000 8.8012
Ce 0.0000 2.6740 8.9061
Ce 0.0000 0.0000 3.7477
Tl 0.0000 0.0000 10.8256
Tl 0.0000 2.6740 5.5667
Tl 0.0000 0.0000 0.0000
Tl 0.0000 2.6740 1.8283
Tl 2.7613 0.0000 1.9657
Tl 2.7613 2.6740 10.6882
Tl 0.0000 0.0000 7.0872